Material: LaCuH2Au
Method: DFT, PBE-GGA
State: relaxed

```
data_LaCuH2Au
_cell_length_a 4.1487
_cell_length_b 4.1487
_cell_length_c 5.7867
_cell_angle_alpha 90.00
_cell_angle_beta 90.00
_cell_angle_gamma 90.00
_symmetry_space_group_name_H-M 'P 4/m m m'
_symmetry_Int_Tables_number 123
_symmetry_space_group_name_Hall '-P 4 2'
loop_
_atom_site_label
_atom_site_type_symbol
_atom_site_fract_x
_atom_site_fract_y
_atom_site_fract_z
_atom_site_occupancy
La1 La 0.0000 0.0000 0.0000 1
Cu1 Cu 0.0000 0.0000 0.5000 1
H1 H 0.0000 0.5000 0.0000 1
Au1 Au 0.5000 0.5000 0.5000 1
```

Summary:
Total magnetic moment, μB/cell: 0.00
E_tot, eV/cell: -17.92

---

Material: LiCu2HAu
Method: DFT, PBE-GGA
State: relaxed

```
data_LiCu2HAu
_cell_length_a 3.7769
_cell_length_b 3.7769
_cell_length_c 4.0923
_cell_angle_alpha 90.00
_cell_angle_beta 90.00
_cell_angle_gamma 90.00
_symmetry_space_group_name_H-M 'P 4/m m m'
_symmetry_Int_Tables_number 123
_symmetry_space_group_name_Hall '-P 4 2'
loop_
_atom_site_label
_atom_site_type_symbol
_atom_site_fract_x
_atom_site_fract_y
_atom_site_fract_z
_atom_site_occupancy
Li1 Li 0.0000 0.0000 0.0000 1
Cu1 Cu 0.0000 0.5000 0.5000 1
H1 H 0.5000 0.5000 0.5000 1
Au1 Au 0.5000 0.5000 0.0000 1
```

Summary:
Offset from the most stable computed form, meV/atom: 153.3
Total magnetic moment, μB/cell: 0.00
E_tot, eV/cell: -16.77

---

Material: LiCuHAu2
Method: DFT, PBE-GGA
State: relaxed

```
data_LiCuHAu2
_cell_length_a 4.2485
_cell_length_b 4.2485
_cell_length_c 3.5875
_cell_angle_alpha 90.00
_cell_angle_beta 90.00
_cell_angle_gamma 90.00
_symmetry_space_group_name_H-M 'P 4/m m m'
_symmetry_Int_Tables_number 123
_symmetry_space_group_name_Hall '-P 4 2'
loop_
_atom_site_label
_atom_site_type_symbol
_atom_site_fract_x
_atom_site_fract_y
_atom_site_fract_z
_atom_site_occupancy
Li1 Li 0.0000 0.0000 0.0000 1
Cu1 Cu 0.5000 0.5000 0.0000 1
H1 H 0.5000 0.5000 0.5000 1
Au1 Au 0.0000 0.5000 0.5000 1
```

Summary:
Offset from the most stable computed form, meV/atom: 6.9
Total magnetic moment, μB/cell: 0.00
E_tot, eV/cell: -16.25

---

Material: LiCuHAu2
Method: DFT, PBE-GGA
State: relaxed

```
data_LiCuHAu2
_cell_length_a 4.1070
_cell_length_b 4.1070
_cell_length_c 3.8049
_cell_angle_alpha 90.00
_cell_angle_beta 90.00
_cell_angle_gamma 90.00
_symmetry_space_group_name_H-M 'P 4/m m m'
_symmetry_Int_Tables_number 123
_symmetry_space_group_name_Hall '-P 4 2'
loop_
_atom_site_label
_atom_site_type_symbol
_atom_site_fract_x
_atom_site_fract_y
_atom_site_fract_z
_atom_site_occupancy
Li1 Li 0.0000 0.0000 0.0000 1
Cu1 Cu 0.5000 0.5000 0.0000 1
H1 H 0.0000 0.0000 0.5000 1
Au1 Au 0.0000 0.5000 0.5000 1
```

Summary:
Offset from the most stable computed form, meV/atom: 0.0
Total magnetic moment, μB/cell: 0.00
E_tot, eV/cell: -16.29

---

Material: LiCu2HAu
Method: DFT, PBE-GGA
State: relaxed

```
data_LiCu2HAu
_cell_length_a 3.7268
_cell_length_b 3.7268
_cell_length_c 4.0609
_cell_angle_alpha 90.00
_cell_angle_beta 90.00
_cell_angle_gamma 90.00
_symmetry_space_group_name_H-M 'P 4/m m m'
_symmetry_Int_Tables_number 123
_symmetry_space_group_name_Hall '-P 4 2'
loop_
_atom_site_label
_atom_site_type_symbol
_atom_site_fract_x
_atom_site_fract_y
_atom_site_fract_z
_atom_site_occupancy
Li1 Li 0.0000 0.0000 0.0000 1
Cu1 Cu 0.0000 0.5000 0.5000 1
H1 H 0.0000 0.0000 0.5000 1
Au1 Au 0.5000 0.5000 0.0000 1
```

Summary:
Offset from the most stable computed form, meV/atom: 0.0
Total magnetic moment, μB/cell: 0.00
E_tot, eV/cell: -17.53

---

Material: Mg2CuHAu
Method: DFT, PBE-GGA
State: relaxed

```
data_Mg2CuHAu
_cell_length_a 4.4918
_cell_length_b 4.4918
_cell_length_c 3.4579
_cell_angle_alpha 90.00
_cell_angle_beta 90.00
_cell_angle_gamma 90.00
_symmetry_space_group_name_H-M 'P 4/m m m'
_symmetry_Int_Tables_number 123
_symmetry_space_group_name_Hall '-P 4 2'
loop_
_atom_site_label
_atom_site_type_symbol
_atom_site_fract_x
_atom_site_fract_y
_atom_site_fract_z
_atom_site_occupancy
Mg1 Mg 0.0000 0.5000 0.0000 1
Cu1 Cu 0.0000 0.0000 0.5000 1
H1 H 0.0000 0.0000 0.0000 1
Au1 Au 0.5000 0.5000 0.5000 1
```

Summary:
Total magnetic moment, μB/cell: 0.00
E_tot, eV/cell: -15.26

---

Material: Mn2CuHAu
Method: DFT, PBE-GGA
State: relaxed

```
data_Mn2CuHAu
_cell_length_a 3.8599
_cell_length_b 3.8599
_cell_length_c 3.9608
_cell_angle_alpha 90.00
_cell_angle_beta 90.00
_cell_angle_gamma 90.00
_symmetry_space_group_name_H-M 'P 4/m m m'
_symmetry_Int_Tables_number 123
_symmetry_space_group_name_Hall '-P 4 2'
loop_
_atom_site_label
_atom_site_type_symbol
_atom_site_fract_x
_atom_site_fract_y
_atom_site_fract_z
_atom_site_occupancy
Mn1 Mn 0.0000 0.5000 0.0000 1
Cu1 Cu 0.0000 0.0000 0.5000 1
H1 H 0.0000 0.0000 0.0000 1
Au1 Au 0.5000 0.5000 0.5000 1
```

Summary:
Offset from the most stable computed form, meV/atom: 0.0
Total magnetic moment, μB/cell: 6.70
E_tot, eV/cell: -28.71

---

Material: Mn2CuHAu
Method: DFT, PBE-GGA
State: relaxed

```
data_Mn2CuHAu
_cell_length_a 3.8440
_cell_length_b 3.8440
_cell_length_c 4.0747
_cell_angle_alpha 90.00
_cell_angle_beta 90.00
_cell_angle_gamma 90.00
_symmetry_space_group_name_H-M 'P 4/m m m'
_symmetry_Int_Tables_number 123
_symmetry_space_group_name_Hall '-P 4 2'
loop_
_atom_site_label
_atom_site_type_symbol
_atom_site_fract_x
_atom_site_fract_y
_atom_site_fract_z
_atom_site_occupancy
Mn1 Mn 0.0000 0.5000 0.0000 1
Cu1 Cu 0.0000 0.0000 0.5000 1
H1 H 0.5000 0.5000 0.0000 1
Au1 Au 0.5000 0.5000 0.5000 1
```

Summary:
Offset from the most stable computed form, meV/atom: 104.7
Total magnetic moment, μB/cell: 6.83
E_tot, eV/cell: -28.19

---

Material: Cu2MoHAu
Method: DFT, PBE-GGA
State: relaxed

```
data_Cu2MoHAu
_cell_length_a 4.0112
_cell_length_b 4.0112
_cell_length_c 3.7992
_cell_angle_alpha 90.00
_cell_angle_beta 90.00
_cell_angle_gamma 90.00
_symmetry_space_group_name_H-M 'P 4/m m m'
_symmetry_Int_Tables_number 123
_symmetry_space_group_name_Hall '-P 4 2'
loop_
_atom_site_label
_atom_site_type_symbol
_atom_site_fract_x
_atom_site_fract_y
_atom_site_fract_z
_atom_site_occupancy
Cu1 Cu 0.0000 0.5000 0.0000 1
Mo1 Mo 0.0000 0.0000 0.5000 1
H1 H 0.0000 0.0000 0.0000 1
Au1 Au 0.5000 0.5000 0.5000 1
```

Summary:
Total magnetic moment, μB/cell: 0.00
E_tot, eV/cell: -24.26

---

Material: Na2CuHAu
Method: DFT, PBE-GGA
State: relaxed

```
data_Na2CuHAu
_cell_length_a 4.9409
_cell_length_b 4.9409
_cell_length_c 3.4678
_cell_angle_alpha 90.00
_cell_angle_beta 90.00
_cell_angle_gamma 90.00
_symmetry_space_group_name_H-M 'P 4/m m m'
_symmetry_Int_Tables_number 123
_symmetry_space_group_name_Hall '-P 4 2'
loop_
_atom_site_label
_atom_site_type_symbol
_atom_site_fract_x
_atom_site_fract_y
_atom_site_fract_z
_atom_site_occupancy
Na1 Na 0.0000 0.5000 0.0000 1
Cu1 Cu 0.0000 0.0000 0.5000 1
H1 H 0.0000 0.0000 0.0000 1
Au1 Au 0.5000 0.5000 0.5000 1
```

Summary:
Total magnetic moment, μB/cell: 0.00
E_tot, eV/cell: -13.47

---

Material: Na2CuH6Au
Method: DFT, PBE-GGA
State: relaxed

```
data_Na2CuH6Au
_cell_length_a 5.1150
_cell_length_b 5.1150
_cell_length_c 8.0108
_cell_angle_alpha 90.00
_cell_angle_beta 90.00
_cell_angle_gamma 90.00
_symmetry_space_group_name_H-M 'I 4/m m m'
_symmetry_Int_Tables_number 139
_symmetry_space_group_name_Hall '-I 4 2'
loop_
_atom_site_label
_atom_site_type_symbol
_atom_site_fract_x
_atom_site_fract_y
_atom_site_fract_z
_atom_site_occupancy
Na1 Na 0.0000 0.5000 0.2500 1
Cu1 Cu 0.0000 0.0000 0.0000 1
H1 H 0.0000 0.0000 0.1990 1
H2 H 0.2384 0.2384 0.5000 1
Au1 Au 0.0000 0.0000 0.5000 1
```

Summary:
Total magnetic moment, μB/cell: 0.00
E_tot, eV/cell: -61.69

---

Material: Nb2CuHAu
Method: DFT, PBE-GGA
State: relaxed

```
data_Nb2CuHAu
_cell_length_a 3.9786
_cell_length_b 3.9786
_cell_length_c 4.3743
_cell_angle_alpha 90.00
_cell_angle_beta 90.00
_cell_angle_gamma 90.00
_symmetry_space_group_name_H-M 'P 4/m m m'
_symmetry_Int_Tables_number 123
_symmetry_space_group_name_Hall '-P 4 2'
loop_
_atom_site_label
_atom_site_type_symbol
_atom_site_fract_x
_atom_site_fract_y
_atom_site_fract_z
_atom_site_occupancy
Nb1 Nb 0.0000 0.5000 0.0000 1
Cu1 Cu 0.0000 0.0000 0.5000 1
H1 H 0.5000 0.5000 0.0000 1
Au1 Au 0.5000 0.5000 0.5000 1
```

Summary:
Offset from the most stable computed form, meV/atom: 89.6
Total magnetic moment, μB/cell: 0.00
E_tot, eV/cell: -30.78